Here is MgFeBi2O6 after structural relaxation from the Alexandria database. Energies are from PBE with a Hubbard U.

Unit cell a=5.387 b=5.743 c=9.489 alpha=90.00 beta=124.51 gamma=90.00
Positions (direct):
Mg1 0.000 0.000 0.000
Mg2 0.000 0.500 0.500
Fe1 0.500 0.000 0.500
Fe2 0.500 0.500 0.000
Bi1 0.241 0.061 0.735
Bi2 0.241 0.439 0.235
Bi3 0.759 0.561 0.765
Bi4 0.759 0.939 0.265
O1 0.172 0.035 0.259
O2 0.172 0.465 0.759
O3 0.223 0.684 0.028
O4 0.223 0.816 0.528
O5 0.362 0.225 0.051
O6 0.362 0.275 0.551
O7 0.638 0.725 0.449
O8 0.638 0.775 0.949
O9 0.777 0.184 0.472
O10 0.777 0.316 0.972
O11 0.828 0.535 0.241
O12 0.828 0.965 0.741

D(E_F) in states/eV per cell: 0.43
VASP energy in eV for the cell shown: -117.57
V in Å³ per cell: 242
Space-group type: P2_1/c (14)